First-principles (PBE) data for a relaxed structure of Pm2ThH, as listed in Alexandria.

Lattice parameters (Å, degrees): 8.8850 8.8850 8.8850 23.83 23.83 23.83
Sites, in units of the cell vectors:
Pm  0.2242  0.2242  0.2242
Pm  0.7758  0.7758  0.7758
Th  0.0000  0.0000  0.0000
H  0.5000  0.5000  0.5000

Summary:
- total moment (μB/f.u.) = 0.00
- ΔE to the lowest computed polymorph (meV per atom) = 0
- theoretical density (g/cm3) = 8.6